(1)
This record from the Alexandria database describes a relaxed La12Cu3N5 crystal. The functional is PBE.

Cell: 13.9859 13.9859 13.9859 Å, 109.47 109.47 109.47°
Positions (direct):
La (0.0181, 0.2018, 0.1140)
La (0.0181, 0.3163, 0.9041)
La (0.0879, 0.7018, 0.6837)
La (0.0879, 0.8860, 0.4041)
La (0.0959, 0.6140, 0.4121)
La (0.0959, 0.9819, 0.6837)
La (0.1140, 0.0181, 0.2018)
La (0.1140, 0.5959, 0.9121)
La (0.1837, 0.2018, 0.5879)
La (0.1837, 0.4819, 0.5959)
La (0.2018, 0.1140, 0.0181)
La (0.2018, 0.5879, 0.1837)
La (0.2982, 0.3163, 0.9121)
La (0.2982, 0.4819, 0.3860)
La (0.3163, 0.9041, 0.0181)
La (0.3163, 0.9121, 0.2982)
La (0.3860, 0.2982, 0.4819)
La (0.3860, 0.5879, 0.9041)
La (0.4041, 0.0879, 0.8860)
La (0.4041, 0.8163, 0.5181)
La (0.4121, 0.0959, 0.6140)
La (0.4121, 0.8163, 0.7982)
La (0.4819, 0.3860, 0.2982)
La (0.4819, 0.5959, 0.1837)
La (0.5181, 0.4041, 0.8163)
La (0.5181, 0.6140, 0.7018)
La (0.5879, 0.1837, 0.2018)
La (0.5879, 0.9041, 0.3860)
La (0.5959, 0.1837, 0.4819)
La (0.5959, 0.9121, 0.1140)
La (0.6140, 0.4121, 0.0959)
La (0.6140, 0.7018, 0.5181)
La (0.6837, 0.0879, 0.7018)
La (0.6837, 0.0959, 0.9819)
La (0.7018, 0.5181, 0.6140)
La (0.7018, 0.6837, 0.0879)
La (0.7982, 0.4121, 0.8163)
La (0.7982, 0.8860, 0.9819)
La (0.8163, 0.5181, 0.4041)
La (0.8163, 0.7982, 0.4121)
La (0.8860, 0.4041, 0.0879)
La (0.8860, 0.9819, 0.7982)
La (0.9041, 0.0181, 0.3163)
La (0.9041, 0.3860, 0.5879)
La (0.9121, 0.1140, 0.5959)
La (0.9121, 0.2982, 0.3163)
La (0.9819, 0.6837, 0.0959)
La (0.9819, 0.7982, 0.8860)
Cu (0.1250, 0.2500, 0.3750)
Cu (0.1250, 0.3750, 0.7500)
Cu (0.2500, 0.3750, 0.1250)
Cu (0.2500, 0.8750, 0.6250)
Cu (0.3750, 0.1250, 0.2500)
Cu (0.3750, 0.7500, 0.1250)
Cu (0.6250, 0.2500, 0.8750)
Cu (0.6250, 0.8750, 0.7500)
Cu (0.7500, 0.1250, 0.3750)
Cu (0.7500, 0.6250, 0.8750)
Cu (0.8750, 0.6250, 0.2500)
Cu (0.8750, 0.7500, 0.6250)
N (0.0000, 0.0000, 0.0000)
N (0.0000, 0.0000, 0.5000)
N (0.0000, 0.5000, 0.0000)
N (0.0000, 0.5000, 0.5000)
N (0.1250, 0.7500, 0.8750)
N (0.1250, 0.8750, 0.2500)
N (0.2500, 0.1250, 0.8750)
N (0.2500, 0.6250, 0.3750)
N (0.3750, 0.2500, 0.6250)
N (0.3750, 0.6250, 0.7500)
N (0.5000, 0.0000, 0.0000)
N (0.5000, 0.0000, 0.5000)
N (0.5000, 0.5000, 0.0000)
N (0.5000, 0.5000, 0.5000)
N (0.6250, 0.3750, 0.2500)
N (0.6250, 0.7500, 0.3750)
N (0.7500, 0.3750, 0.6250)
N (0.7500, 0.8750, 0.1250)
N (0.8750, 0.1250, 0.7500)
N (0.8750, 0.2500, 0.1250)

The calculation puts the total energy at -6.283 eV/atom. As for the formation energy (no corrections): -631 meV per atom.

=====

(2)
This record from the Alexandria database describes a relaxed La4Cu2N crystal. The functional is PBE.

Cell: 6.8129 6.8129 8.3384 Å, 123.36 123.36 33.24°
Positions (direct):
La (0.0835, 0.0835, 0.3548)
La (0.3472, 0.3472, 0.9339)
La (0.6528, 0.6528, 0.0661)
La (0.9165, 0.9165, 0.6452)
Cu (0.3828, 0.3828, 0.3373)
Cu (0.6172, 0.6172, 0.6627)
N (0.0000, 0.0000, 0.0000)

The calculation puts the total energy at -5.647 eV/atom. As for the formation energy (no corrections): -471 meV per atom.

=====

(3)
This record from the Alexandria database describes a relaxed LaCuN2 crystal. The functional is PBE.

Cell: 6.5524 6.5524 6.5524 Å, 138.81 138.81 59.66°
Positions (direct):
La (0.0000, 0.0000, 0.0000)
La (0.7500, 0.2500, 0.5000)
Cu (0.2500, 0.7500, 0.5000)
Cu (0.5000, 0.5000, 0.0000)
N (0.2127, 0.6250, 0.0877)
N (0.3750, 0.4627, 0.5877)
N (0.5373, 0.1250, 0.9123)
N (0.8750, 0.7873, 0.4123)

The calculation puts the total energy at -6.459 eV/atom. As for the formation energy (no corrections): -40 meV per atom.

=====

- Which value of formation energy (no corrections) does entry 3 give?
  -40 meV per atom